Entry 1:
## MgSeBr2F (PBE-GGA)

Data for MgSeBr2F after structural relaxation.

Results
Spin magnetization   1.8 μB per formula unit
VASP energy   -2.358 eV/atom
Crystal system   tetragonal
Offset from the most stable computed form   0.000 eV/atom
E_form (uncorrected)   -0.2987 eV/atom
SG   No. 123

Cell lengths 5.087, 5.087, 5.533 Å; angles 90.00, 90.00, 90.00 degrees
Sites, in units of the cell vectors:
Mg 0.000 0.000 0.000
Se 0.000 0.000 0.500
Br 0.000 0.500 0.000
Br 0.500 0.000 0.000
F 0.500 0.500 0.500


Entry 2:
## Tl3ZnCl4 (PBE-GGA)

Data for Tl3ZnCl4 after structural relaxation.

Results
Spin magnetization   0.0 μB per formula unit
VASP energy   -2.848 eV/atom
Crystal system   orthorhombic
E_form (uncorrected)   -0.8783 eV/atom
SG   No. 31

Cell lengths 7.125, 11.614, 6.537 Å; angles 90.00, 90.00, 90.00 degrees
Sites, in units of the cell vectors:
Tl 0.000 0.043 0.000
Tl 0.245 0.539 0.020
Tl 0.255 0.461 0.520
Tl 0.500 0.957 0.500
Tl 0.745 0.461 0.520
Tl 0.755 0.539 0.020
Zn 0.000 0.802 0.558
Zn 0.500 0.198 0.058
Cl 0.000 0.768 0.903
Cl 0.000 0.999 0.513
Cl 0.239 0.276 0.913
Cl 0.261 0.724 0.413
Cl 0.500 0.001 0.013
Cl 0.500 0.232 0.403
Cl 0.739 0.724 0.413
Cl 0.761 0.276 0.913


Entry 3:
## NbSiNi (PBE-GGA)

Data for NbSiNi after structural relaxation.

Results
Spin magnetization   0.0 μB per formula unit
VASP energy   -7.657 eV/atom
Crystal system   hexagonal
E_form (uncorrected)   -0.5658 eV/atom
SG   No. 187

Cell lengths 3.957, 3.957, 3.079 Å; angles 90.00, 90.00, 120.00 degrees
Sites, in units of the cell vectors:
Nb 0.000 0.000 0.000
Si 0.333 0.667 0.500
Ni 0.667 0.333 0.500


Entry 4:
## CaTb2ThBi4 (PBE-GGA)

Data for CaTb2ThBi4 after structural relaxation.

Results
Spin magnetization   0.0 μB per formula unit
VASP energy   -5.077 eV/atom
Crystal system   monoclinic
Energy relative to the elements   -801 meV/atom
SG   No. 10

Cell lengths 7.862, 4.562, 7.890 Å; angles 90.00, 109.27, 90.00 degrees
Sites, in units of the cell vectors:
Ca 0.000 0.000 0.000
Tb 0.000 0.500 0.500
Tb 0.500 0.000 0.500
Th 0.500 0.500 0.000
Bi 0.248 0.000 0.744
Bi 0.253 0.500 0.256
Bi 0.747 0.500 0.744
Bi 0.752 0.000 0.256


Entry 5:
## CoCuRe2 (PBE-GGA)

Data for CoCuRe2 after structural relaxation.

Results
Spin magnetization   1.0 μB per formula unit
VASP energy   -8.794 eV/atom
Crystal system   tetragonal
Offset from the most stable computed form   0.071 eV/atom
Energy relative to the elements   231 meV/atom
SG   No. 99

Cell lengths 3.085, 3.085, 5.579 Å; angles 90.00, 90.00, 90.00 degrees
Sites, in units of the cell vectors:
Co 0.000 0.000 0.000
Cu 0.500 0.500 0.207
Re 0.000 0.000 0.474
Re 0.500 0.500 0.735


Entry 6:
## Ca2TcTeI (PBE-GGA)

Data for Ca2TcTeI after structural relaxation.

Results
Spin magnetization   0.0 μB per formula unit
VASP energy   -4.188 eV/atom
Crystal system   tetragonal
E_form (uncorrected)   -0.3758 eV/atom
SG   No. 123

Cell lengths 5.777, 5.777, 4.935 Å; angles 90.00, 90.00, 90.00 degrees
Sites, in units of the cell vectors:
Ca 0.000 0.500 0.000
Ca 0.500 0.000 0.000
Tc 0.000 0.000 0.000
Te 0.000 0.000 0.500
I 0.500 0.500 0.500


Entry 7:
## SrIrCl (PBE-GGA)

Data for SrIrCl after structural relaxation.

Results
Spin magnetization   0.0 μB per formula unit
VASP energy   -5.385 eV/atom
Crystal system   monoclinic
Offset from the most stable computed form   0.000 eV/atom
E_form (uncorrected)   -1.2549 eV/atom
SG   No. 12

Cell lengths 4.221, 4.221, 11.363 Å; angles 100.65, 100.65, 61.85 degrees
Sites, in units of the cell vectors:
Sr 0.070 0.070 0.212
Sr 0.930 0.930 0.788
Ir 0.325 0.325 0.002
Ir 0.675 0.675 0.998
Cl 0.223 0.223 0.651
Cl 0.777 0.777 0.349


Entry 8:
## NdUClO4 (PBE-GGA)

Data for NdUClO4 after structural relaxation.

Results
Spin magnetization   0.0 μB per formula unit
VASP energy   -8.280 eV/atom
Crystal system   monoclinic
E_form (uncorrected)   -2.8893 eV/atom
SG   No. 12

Cell lengths 7.005, 7.005, 6.492 Å; angles 90.26, 90.26, 61.47 degrees
Sites, in units of the cell vectors:
Nd 0.190 0.190 0.439
Nd 0.810 0.810 0.561
U 0.368 0.368 0.890
U 0.632 0.632 0.110
Cl 0.028 0.028 0.749
Cl 0.972 0.972 0.251
O 0.120 0.488 0.674
O 0.243 0.243 0.066
O 0.477 0.477 0.193
O 0.488 0.120 0.674
O 0.512 0.880 0.326
O 0.523 0.523 0.807
O 0.757 0.757 0.934
O 0.880 0.512 0.326


Entry 9:
## KSb2 (PBE-GGA)

Data for KSb2 after structural relaxation.

Results
Spin magnetization   0.0 μB per formula unit
VASP energy   -3.313 eV/atom
Crystal system   trigonal
E_form (uncorrected)   -0.1987 eV/atom
SG   No. 164

Cell lengths 4.794, 4.794, 6.019 Å; angles 90.00, 90.00, 120.00 degrees
Sites, in units of the cell vectors:
K 0.000 0.000 0.000
Sb 0.333 0.667 0.409
Sb 0.667 0.333 0.591


Entry 10:
## Mg2ScAu2 (PBE-GGA)

Data for Mg2ScAu2 after structural relaxation.

Results
Spin magnetization   0.0 μB per formula unit
VASP energy   -3.750 eV/atom
Crystal system   tetragonal
Offset from the most stable computed form   0.024 eV/atom
Energy relative to the elements   -535 meV/atom
SG   No. 127

Cell lengths 7.356, 7.356, 3.755 Å; angles 90.00, 90.00, 90.00 degrees
Sites, in units of the cell vectors:
Mg 0.160 0.340 0.000
Mg 0.340 0.840 0.000
Mg 0.660 0.160 0.000
Mg 0.840 0.660 0.000
Sc 0.000 0.000 0.500
Sc 0.500 0.500 0.500
Au 0.139 0.639 0.500
Au 0.361 0.139 0.500
Au 0.639 0.861 0.500
Au 0.861 0.361 0.500


Entry 11:
## Pm3PrC (PBE-GGA)

Data for Pm3PrC after structural relaxation.

Results
Spin magnetization   0.0 μB per formula unit
VASP energy   -5.576 eV/atom
Crystal system   cubic
Energy relative to the elements   75 meV/atom
SG   No. 221

Cell lengths 5.221, 5.221, 5.221 Å; angles 90.00, 90.00, 90.00 degrees
Sites, in units of the cell vectors:
Pm 0.000 0.000 0.500
Pm 0.000 0.500 0.000
Pm 0.500 0.000 0.000
Pr 0.500 0.500 0.500
C 0.000 0.000 0.000


Entry 12:
## Hf3InH3 (PBE-GGA)

Data for Hf3InH3 after structural relaxation.

Results
Spin magnetization   0.0 μB per formula unit
VASP energy   -6.443 eV/atom
Crystal system   cubic
Offset from the most stable computed form   0.000 eV/atom
SG   No. 223

Cell lengths 5.729, 5.729, 5.729 Å; angles 90.00, 90.00, 90.00 degrees
Sites, in units of the cell vectors:
Hf 0.000 0.250 0.500
Hf 0.000 0.750 0.500
Hf 0.250 0.500 0.000
Hf 0.500 0.000 0.250
Hf 0.500 0.000 0.750
Hf 0.750 0.500 0.000
In 0.000 0.000 0.000
In 0.500 0.500 0.500
H 0.000 0.500 0.250
H 0.000 0.500 0.750
H 0.250 0.000 0.500
H 0.500 0.250 0.000
H 0.500 0.750 0.000
H 0.750 0.000 0.500


Entry 13:
## NdPb7 (PBE-GGA)

Data for NdPb7 after structural relaxation.

Results
Spin magnetization   0.0 μB per formula unit
VASP energy   -3.993 eV/atom
Crystal system   cubic
Energy relative to the elements   -152 meV/atom
SG   No. 225

Cell lengths 7.048, 7.048, 7.048 Å; angles 60.00, 60.00, 60.00 degrees
Sites, in units of the cell vectors:
Nd 0.000 0.000 0.000
Pb 0.000 0.000 0.500
Pb 0.000 0.500 0.000
Pb 0.000 0.500 0.500
Pb 0.500 0.000 0.000
Pb 0.500 0.000 0.500
Pb 0.500 0.500 0.000
Pb 0.500 0.500 0.500


Entry 14:
## Mg2ScSbO6 (PBE-GGA)

Data for Mg2ScSbO6 after structural relaxation.

Results
Spin magnetization   0.0 μB per formula unit
VASP energy   -6.849 eV/atom
Crystal system   trigonal
E_form (uncorrected)   -2.5101 eV/atom
SG   No. 146

Cell lengths 5.619, 5.619, 5.619 Å; angles 55.86, 55.86, 55.86 degrees
Sites, in units of the cell vectors:
Mg 0.000 0.000 0.000
Mg 0.495 0.495 0.495
Sc 0.210 0.210 0.210
Sb 0.703 0.703 0.703
O 0.084 0.423 0.805
O 0.316 0.905 0.603
O 0.423 0.805 0.084
O 0.603 0.316 0.905
O 0.805 0.084 0.423
O 0.905 0.603 0.316


Entry 15:
## MnAlBr2 (PBE-GGA)

Data for MnAlBr2 after structural relaxation.

Results
Spin magnetization   4.5 μB per formula unit
VASP energy   -4.262 eV/atom
Crystal system   orthorhombic
Offset from the most stable computed form   0.154 eV/atom
E_form (uncorrected)   -0.1977 eV/atom
SG   No. 35

Cell lengths 3.617, 3.617, 9.570 Å; angles 90.00, 90.00, 120.97 degrees
Sites, in units of the cell vectors:
Mn 0.000 0.000 0.000
Al 0.500 0.500 0.792
Br 0.000 0.000 0.597
Br 0.500 0.500 0.187


Entry 16:
## LiPd2Au (PBE-GGA)

Data for LiPd2Au after structural relaxation.

Results
Spin magnetization   0.0 μB per formula unit
VASP energy   -4.250 eV/atom
Crystal system   orthorhombic
Offset from the most stable computed form   0.000 eV/atom
Energy relative to the elements   -356 meV/atom
SG   No. 74

Cell lengths 5.576, 5.576, 5.576 Å; angles 119.00, 91.29, 119.52 degrees
Sites, in units of the cell vectors:
Li 0.500 0.000 0.000
Li 0.500 0.500 0.500
Pd 0.000 0.000 0.000
Pd 0.000 0.000 0.500
Pd 0.000 0.500 0.000
Pd 0.500 0.000 0.500
Au 0.000 0.500 0.500
Au 0.500 0.500 0.000


Entry 17:
## As2PtRh (PBE-GGA)

Data for As2PtRh after structural relaxation.

Results
Spin magnetization   0.0 μB per formula unit
VASP energy   -5.556 eV/atom
Crystal system   orthorhombic
Offset from the most stable computed form   0.384 eV/atom
Energy relative to the elements   117 meV/atom
SG   No. 65

Cell lengths 2.921, 2.921, 8.807 Å; angles 90.00, 90.00, 119.44 degrees
Sites, in units of the cell vectors:
As 0.000 0.000 0.241
As 0.000 0.000 0.759
Pt 0.500 0.500 0.500
Rh 0.500 0.500 0.000


Entry 18:
## K2PmHfS4 (PBE-GGA)

Data for K2PmHfS4 after structural relaxation.

Results
Spin magnetization   0.0 μB per formula unit
VASP energy   -5.804 eV/atom
Crystal system   monoclinic
E_form (uncorrected)   -1.6283 eV/atom
SG   No. 10

Cell lengths 6.865, 3.918, 7.735 Å; angles 90.00, 106.76, 90.00 degrees
Sites, in units of the cell vectors:
K 0.000 0.000 0.000
K 0.500 0.500 0.000
Pm 0.000 0.500 0.500
Hf 0.500 0.000 0.500
S 0.258 0.000 0.706
S 0.288 0.500 0.303
S 0.712 0.500 0.697
S 0.742 0.000 0.294


Entry 19:
## Cs2CaPmI6 (PBE-GGA)

Data for Cs2CaPmI6 after structural relaxation.

Results
Spin magnetization   1.0 μB per formula unit
VASP energy   -3.199 eV/atom
Crystal system   orthorhombic
E_form (uncorrected)   -1.4229 eV/atom
SG   No. 59

Cell lengths 8.813, 12.469, 8.813 Å; angles 90.00, 90.00, 90.00 degrees
Sites, in units of the cell vectors:
Cs 0.250 0.000 0.249
Cs 0.250 0.500 0.249
Cs 0.750 0.000 0.751
Cs 0.750 0.500 0.751
Ca 0.250 0.250 0.749
Ca 0.750 0.750 0.251
Pm 0.250 0.750 0.751
Pm 0.750 0.250 0.249
I 0.001 0.250 0.500
I 0.001 0.250 0.998
I 0.250 0.001 0.750
I 0.250 0.499 0.750
I 0.499 0.250 0.500
I 0.499 0.250 0.998
I 0.501 0.750 0.002
I 0.501 0.750 0.500
I 0.750 0.501 0.250
I 0.750 0.999 0.250
I 0.999 0.750 0.002
I 0.999 0.750 0.500


Entry 20:
## GeTe2S (PBE-GGA)

Data for GeTe2S after structural relaxation.

Results
Spin magnetization   0.0 μB per formula unit
VASP energy   -3.334 eV/atom
Crystal system   cubic
Offset from the most stable computed form   0.146 eV/atom
E_form (uncorrected)   0.4231 eV/atom
SG   No. 225

Cell lengths 5.049, 5.049, 5.049 Å; angles 60.00, 60.00, 60.00 degrees
Sites, in units of the cell vectors:
Ge 0.000 0.000 0.000
Te 0.250 0.250 0.250
Te 0.750 0.750 0.750
S 0.500 0.500 0.500


Entry 21:
## RePtCl2 (PBE-GGA)

Data for RePtCl2 after structural relaxation.

Results
Spin magnetization   1.8 μB per formula unit
VASP energy   -4.689 eV/atom
Crystal system   monoclinic
Offset from the most stable computed form   0.837 eV/atom
E_form (uncorrected)   0.8562 eV/atom
SG   No. 12

Cell lengths 5.175, 5.175, 3.028 Å; angles 104.96, 104.96, 112.33 degrees
Sites, in units of the cell vectors:
Re 0.000 0.000 0.000
Pt 0.500 0.500 0.000
Cl 0.000 0.500 0.000
Cl 0.500 0.000 0.000


Entry 22:
## SmTh3Tl4 (PBE-GGA)

Data for SmTh3Tl4 after structural relaxation.

Results
Spin magnetization   0.0 μB per formula unit
VASP energy   -4.756 eV/atom
Crystal system   tetragonal
Energy relative to the elements   -201 meV/atom
SG   No. 123

Cell lengths 3.570, 3.570, 18.234 Å; angles 90.00, 90.00, 90.00 degrees
Sites, in units of the cell vectors:
Sm 0.000 0.000 0.000
Th 0.000 0.000 0.248
Th 0.000 0.000 0.500
Th 0.000 0.000 0.752
Tl 0.500 0.500 0.121
Tl 0.500 0.500 0.374
Tl 0.500 0.500 0.626
Tl 0.500 0.500 0.879


Entry 23:
## NaEuPuPb (PBE-GGA)

Data for NaEuPuPb after structural relaxation.

Results
Spin magnetization   13.4 μB per formula unit
VASP energy   -7.421 eV/atom
Crystal system   cubic
Energy relative to the elements   -12 meV/atom
SG   No. 216

Cell lengths 5.607, 5.607, 5.607 Å; angles 60.00, 60.00, 60.00 degrees
Sites, in units of the cell vectors:
Na 0.000 0.000 0.000
Eu 0.250 0.250 0.250
Pu 0.750 0.750 0.750
Pb 0.500 0.500 0.500


Entry 24:
## CsRb2SrI5 (PBE-GGA)

Data for CsRb2SrI5 after structural relaxation.

Results
Spin magnetization   0.0 μB per formula unit
VASP energy   -2.907 eV/atom
Crystal system   orthorhombic
E_form (uncorrected)   -1.5491 eV/atom
SG   No. 71

Cell lengths 10.509, 10.509, 10.509 Å; angles 145.27, 129.84, 62.45 degrees
Sites, in units of the cell vectors:
Cs 0.000 0.000 0.000
Rb 0.295 0.795 0.500
Rb 0.705 0.205 0.500
Sr 0.500 0.500 0.000
I 0.116 0.367 0.748
I 0.381 0.633 0.748
I 0.500 0.000 0.500
I 0.619 0.367 0.252
I 0.884 0.633 0.252


Entry 25:
## RbCa2Bi2 (PBE-GGA)

Data for RbCa2Bi2 after structural relaxation.

Results
Spin magnetization   0.0 μB per formula unit
VASP energy   -3.087 eV/atom
Crystal system   orthorhombic
Offset from the most stable computed form   0.129 eV/atom
Energy relative to the elements   -540 meV/atom
SG   No. 70

Cell lengths 10.575, 9.343, 7.666 Å; angles 76.17, 59.09, 44.74 degrees
Sites, in units of the cell vectors:
Rb 0.125 0.125 0.125
Rb 0.875 0.875 0.875
Ca 0.263 0.263 0.487
Ca 0.487 0.487 0.263
Ca 0.513 0.513 0.737
Ca 0.737 0.737 0.513
Bi 0.169 0.581 0.169
Bi 0.419 0.831 0.419
Bi 0.581 0.169 0.581
Bi 0.831 0.419 0.831